Entry from the Alexandria database: H at its PBEsol-relaxed geometry (meta-GGA SCAN).

abc: 2.0831 2.0831 2.0831
angles: 60.00 60.00 60.00
Closest atoms and distances in Å follow each position.
Fractional coordinates of all 2 atoms:
H  0.1250  0.1250  0.1250  4 H 1.28
H  0.8750  0.8750  0.8750  4 H 1.28

Total energy, eV/atom: -2.642


Entry from the Alexandria database: H at its PBEsol-relaxed geometry (meta-GGA SCAN).

abc: 3.3121 3.3121 3.3121
angles: 109.47 109.47 109.47
Closest atoms and distances in Å follow each position.
Fractional coordinates of all 1 atoms:
H  0.0000  0.0000  0.0000  8 H 3.31

Total energy, eV/atom: -1.119


Entry from the Alexandria database: H at its PBEsol-relaxed geometry (meta-GGA SCAN).

abc: 8.0237 10.4255 8.9526
angles: 90.00 99.84 90.00
Closest atoms and distances in Å follow each position.
Fractional coordinates of all 32 atoms:
H  0.0223  0.0000  0.3209  10 H 3.03-3.27
H  0.0572  0.7396  0.4898  9 H 2.90-3.22
H  0.0720  0.7252  0.1691  10 H 2.90-3.24
H  0.0989  0.4621  0.0256  10 H 3.05-3.25
H  0.1273  0.7609  0.8300  9 H 3.01-3.19
H  0.1511  0.4574  0.3838  8 H 2.95-3.22
H  0.2052  0.1642  0.0825  9 H 2.95-3.27
H  0.2144  0.0381  0.7342  11 H 3.06-3.42
H  0.2916  0.3262  0.7765  7 H 3.03-3.27
H  0.2943  0.1965  0.4295  8 H 2.95-3.27
H  0.3440  0.9009  0.1127  8 H 2.96-3.25
H  0.3778  0.5991  0.6623  9 H 3.01-3.22
H  0.3946  0.8993  0.4768  10 H 3.07-3.27
H  0.4211  0.6380  0.3244  9 H 2.92-3.26
H  0.4419  0.6185  0.0029  9 H 2.92-3.24
H  0.4717  0.3620  0.1807  10 H 2.99-3.32
H  0.5283  0.8620  0.8193  10 H 2.99-3.32
H  0.5581  0.1185  0.9971  9 H 2.92-3.24
H  0.5789  0.1380  0.6756  9 H 2.92-3.26
H  0.6054  0.3993  0.5232  10 H 3.07-3.27
H  0.6222  0.0991  0.3377  9 H 3.01-3.22
H  0.6560  0.4009  0.8873  8 H 2.96-3.25
H  0.7057  0.6965  0.5705  8 H 2.95-3.27
H  0.7084  0.8262  0.2235  7 H 3.03-3.27
H  0.7856  0.5381  0.2658  11 H 3.06-3.42
H  0.7948  0.6642  0.9175  9 H 2.95-3.27
H  0.8489  0.9574  0.6162  8 H 2.95-3.22
H  0.8727  0.2609  0.1700  9 H 3.01-3.19
H  0.9011  0.9621  0.9744  10 H 3.05-3.25
H  0.9280  0.2252  0.8309  10 H 2.90-3.24
H  0.9428  0.2396  0.5102  9 H 2.90-3.22
H  0.9777  0.5000  0.6791  10 H 3.03-3.27

Total energy, eV/atom: -1.106


Ordered energy above the lowest structure with this stoichiometry results: 0.0; 147.0; 148.3; unit kJ per mole of atoms.